1.
This record from Alexandria via LeMat-Bulk describes an optimized crystal structure of SrNdRh. The functional is GGA-PBE.

Cell: 4.051 6.702 13.436 Å, 90.00 90.00 90.00°
Space group Immm (No. 71)
Asymmetric unit:
1 Sr 0.000 0.238 0.000 x4
2 Nd 0.000 0.000 0.275 x4
3 Rh 0.000 0.500 0.359 x4

Computed properties:
volume	30.40	A^3/atom
crystal system	orthorhombic
formation energy from the elements	-0.34	eV per atom

***

2.
This record from Alexandria via LeMat-Bulk describes an optimized crystal structure of CaNbZnB2. The functional is GGA-PBE.

Cell: 4.320 4.320 4.647 Å, 90.00 90.00 90.00°
Space group P4/mmm (No. 123)
Asymmetric unit:
1 Ca 0.000 0.000 0.000 x1
2 Nb 0.500 0.500 0.500 x1
3 Zn 0.000 0.000 0.500 x1
4 B 0.000 0.500 0.000 x2

Computed properties:
volume	17.34	A^3/atom
crystal system	tetragonal
formation energy from the elements	2.19	eV per atom